(1)
Entry from Alexandria: NdY2Hg5 after structural relaxation (PBE-GGA).

Calculated values
SG: No. 139
VASP energy (eV per atom): -2.855
DFT formation energy (meV per atom): -454
Size of the total moment (μB/cell): 0.000

Geometry as CIF:
```
data_NdY2Hg5
_chemical_formula_sum 'Nd1 Y2 Hg5'
_cell_length_a 5.263
_cell_length_b 5.263
_cell_length_c 8.247
_cell_angle_alpha 108.61
_cell_angle_beta 108.61
_cell_angle_gamma 90.00
_space_group_name_H-M_alt 'P 1'
_space_group_IT_number 1
loop_
_space_group_symop_operation_xyz
'x,y,z'
loop_
_atom_site_label
_atom_site_type_symbol
_atom_site_fract_x
_atom_site_fract_y
_atom_site_fract_z
Nd1 Nd 0.000 0.000 0.000
Hg1 Hg 0.872 0.372 0.745
Hg2 Hg 0.500 0.500 0.000
Hg3 Hg 0.628 0.128 0.255
Hg4 Hg 0.372 0.872 0.745
Hg5 Hg 0.128 0.628 0.255
Y1 Y 0.733 0.733 0.466
Y2 Y 0.267 0.267 0.534
```

***

(2)
Entry from Alexandria: NdY3Hg2 after structural relaxation (PBE-GGA).

Calculated values
SG: No. 123
VASP energy (eV per atom): -4.460
Excess energy over the best structure of this formula in the dataset (eV per atom): 0.0358
DFT formation energy (meV per atom): -333
Size of the total moment (μB/cell): 0.001

Geometry as CIF:
```
data_NdY3Hg2
_chemical_formula_sum 'Nd1 Y3 Hg2'
_cell_length_a 3.710
_cell_length_b 3.710
_cell_length_c 12.475
_cell_angle_alpha 90.00
_cell_angle_beta 90.00
_cell_angle_gamma 90.00
_space_group_name_H-M_alt 'P 1'
_space_group_IT_number 1
loop_
_space_group_symop_operation_xyz
'x,y,z'
loop_
_atom_site_label
_atom_site_type_symbol
_atom_site_fract_x
_atom_site_fract_y
_atom_site_fract_z
Hg1 Hg 0.500 0.500 0.849
Y1 Y 0.000 0.000 0.701
Y2 Y 0.000 0.000 0.299
Nd1 Nd 0.500 0.500 0.500
Hg2 Hg 0.500 0.500 0.151
Y3 Y 0.000 0.000 0.000
```

***

(3)
Entry from Alexandria: Nd4YHg5 after structural relaxation (PBE-GGA).

Calculated values
SG: No. 123
VASP energy (eV per atom): -3.181
DFT formation energy (meV per atom): -477
Size of the total moment (μB/cell): 2.068

Geometry as CIF:
```
data_Nd4YHg5
_chemical_formula_sum 'Nd4 Y1 Hg5'
_cell_length_a 3.814
_cell_length_b 3.814
_cell_length_c 19.112
_cell_angle_alpha 90.00
_cell_angle_beta 90.00
_cell_angle_gamma 90.00
_space_group_name_H-M_alt 'P 1'
_space_group_IT_number 1
loop_
_space_group_symop_operation_xyz
'x,y,z'
loop_
_atom_site_label
_atom_site_type_symbol
_atom_site_fract_x
_atom_site_fract_y
_atom_site_fract_z
Hg1 Hg 0.500 0.500 0.908
Hg2 Hg 0.500 0.500 0.702
Y1 Y 0.000 0.000 0.000
Nd1 Nd 0.000 0.000 0.803
Hg3 Hg 0.500 0.500 0.298
Hg4 Hg 0.500 0.500 0.092
Nd2 Nd 0.000 0.000 0.197
Nd3 Nd 0.000 0.000 0.399
Hg5 Hg 0.500 0.500 0.500
Nd4 Nd 0.000 0.000 0.601
```

***

(4)
Entry from Alexandria: Nd2YHg2 after structural relaxation (PBE-GGA).

Calculated values
SG: No. 11
VASP energy (eV per atom): -3.701
Excess energy over the best structure of this formula in the dataset (eV per atom): 0.0000
DFT formation energy (meV per atom): -380
Size of the total moment (μB/cell): 0.753

Geometry as CIF:
```
data_Nd2YHg2
_chemical_formula_sum 'Nd4 Y2 Hg4'
_cell_length_a 3.793
_cell_length_b 5.377
_cell_length_c 14.240
_cell_angle_alpha 90.00
_cell_angle_beta 97.63
_cell_angle_gamma 90.00
_space_group_name_H-M_alt 'P 1'
_space_group_IT_number 1
loop_
_space_group_symop_operation_xyz
'x,y,z'
loop_
_atom_site_label
_atom_site_type_symbol
_atom_site_fract_x
_atom_site_fract_y
_atom_site_fract_z
Hg1 Hg 0.556 0.250 0.109
Nd1 Nd 0.233 0.750 0.468
Nd2 Nd 0.954 0.250 0.910
Hg2 Hg 0.640 0.750 0.282
Y1 Y 0.853 0.750 0.708
Hg3 Hg 0.444 0.750 0.891
Hg4 Hg 0.360 0.250 0.718
Y2 Y 0.147 0.250 0.292
Nd3 Nd 0.046 0.750 0.090
Nd4 Nd 0.767 0.250 0.532
```

***

(5)
Entry from Alexandria: NdY2Hg2 after structural relaxation (PBE-GGA).

Calculated values
SG: No. 11
VASP energy (eV per atom): -4.052
DFT formation energy (meV per atom): -392
Size of the total moment (μB/cell): 0.000

Geometry as CIF:
```
data_NdY2Hg2
_chemical_formula_sum 'Nd2 Y4 Hg4'
_cell_length_a 3.767
_cell_length_b 5.403
_cell_length_c 13.932
_cell_angle_alpha 90.00
_cell_angle_beta 97.76
_cell_angle_gamma 90.00
_space_group_name_H-M_alt 'P 1'
_space_group_IT_number 1
loop_
_space_group_symop_operation_xyz
'x,y,z'
loop_
_atom_site_label
_atom_site_type_symbol
_atom_site_fract_x
_atom_site_fract_y
_atom_site_fract_z
Hg1 Hg 0.356 0.250 0.712
Hg2 Hg 0.455 0.750 0.909
Nd1 Nd 0.853 0.750 0.709
Y1 Y 0.048 0.750 0.096
Y2 Y 0.235 0.750 0.471
Y3 Y 0.952 0.250 0.904
Hg3 Hg 0.644 0.750 0.288
Nd2 Nd 0.147 0.250 0.291
Y4 Y 0.765 0.250 0.529
Hg4 Hg 0.545 0.250 0.091
```

***

(6)
Entry from Alexandria: Nd2Y2Hg after structural relaxation (PBE-GGA).

Calculated values
SG: No. 69
VASP energy (eV per atom): -4.707
Excess energy over the best structure of this formula in the dataset (eV per atom): 0.0389
DFT formation energy (meV per atom): -154
Size of the total moment (μB/cell): 0.000

Geometry as CIF:
```
data_Nd2Y2Hg
_chemical_formula_sum 'Nd4 Y4 Hg2'
_cell_length_a 7.422
_cell_length_b 6.351
_cell_length_c 9.161
_cell_angle_alpha 76.31
_cell_angle_beta 66.11
_cell_angle_gamma 54.25
_space_group_name_H-M_alt 'P 1'
_space_group_IT_number 1
loop_
_space_group_symop_operation_xyz
'x,y,z'
loop_
_atom_site_label
_atom_site_type_symbol
_atom_site_fract_x
_atom_site_fract_y
_atom_site_fract_z
Nd1 Nd 0.294 0.000 0.500
Nd2 Nd 0.706 0.000 0.500
Nd3 Nd 0.297 0.000 0.906
Y1 Y 0.305 0.596 0.294
Y2 Y 0.695 0.404 0.706
Y3 Y 0.901 0.404 0.294
Y4 Y 0.099 0.596 0.706
Nd4 Nd 0.703 0.000 0.094
Hg1 Hg 0.750 0.500 0.000
Hg2 Hg 0.250 0.500 0.000
```

***

(7)
Entry from Alexandria: Nd3YHg6 after structural relaxation (PBE-GGA).

Calculated values
SG: No. 11
VASP energy (eV per atom): -2.694
DFT formation energy (meV per atom): -436
Size of the total moment (μB/cell): 0.000

Geometry as CIF:
```
data_Nd3YHg6
_chemical_formula_sum 'Nd6 Y2 Hg12'
_cell_length_a 5.219
_cell_length_b 9.450
_cell_length_c 11.281
_cell_angle_alpha 106.03
_cell_angle_beta 90.00
_cell_angle_gamma 90.00
_space_group_name_H-M_alt 'P 1'
_space_group_IT_number 1
loop_
_space_group_symop_operation_xyz
'x,y,z'
loop_
_atom_site_label
_atom_site_type_symbol
_atom_site_fract_x
_atom_site_fract_y
_atom_site_fract_z
Hg1 Hg 0.250 0.232 0.501
Hg2 Hg 0.250 0.061 0.889
Hg3 Hg 0.250 0.664 0.701
Nd1 Nd 0.750 0.226 0.009
Nd2 Nd 0.250 0.353 0.790
Hg4 Hg 0.250 0.849 0.313
Nd3 Nd 0.750 0.647 0.210
Hg5 Hg 0.750 0.537 0.914
Hg6 Hg 0.750 0.768 0.499
Y1 Y 0.250 0.940 0.606
Hg7 Hg 0.750 0.151 0.687
Y2 Y 0.750 0.060 0.394
Nd4 Nd 0.250 0.511 0.386
Nd5 Nd 0.250 0.774 0.991
Hg8 Hg 0.750 0.859 0.808
Hg9 Hg 0.250 0.141 0.192
Hg10 Hg 0.250 0.463 0.086
Hg11 Hg 0.750 0.939 0.111
Nd6 Nd 0.750 0.489 0.614
Hg12 Hg 0.750 0.336 0.299
```

***

(8)
Entry from Alexandria: Nd2YHg4 after structural relaxation (PBE-GGA).

Calculated values
SG: No. 166
VASP energy (eV per atom): -2.812
Excess energy over the best structure of this formula in the dataset (eV per atom): 0.0000
DFT formation energy (meV per atom): -354
Size of the total moment (μB/cell): 0.000

Geometry as CIF:
```
data_Nd2YHg4
_chemical_formula_sum 'Nd2 Y1 Hg4'
_cell_length_a 5.170
_cell_length_b 5.170
_cell_length_c 9.466
_cell_angle_alpha 74.15
_cell_angle_beta 74.15
_cell_angle_gamma 60.00
_space_group_name_H-M_alt 'P 1'
_space_group_IT_number 1
loop_
_space_group_symop_operation_xyz
'x,y,z'
loop_
_atom_site_label
_atom_site_type_symbol
_atom_site_fract_x
_atom_site_fract_y
_atom_site_fract_z
Hg1 Hg 0.126 0.126 0.621
Hg2 Hg 0.874 0.874 0.379
Nd1 Nd 0.244 0.244 0.269
Nd2 Nd 0.756 0.756 0.731
Y1 Y 0.000 0.000 0.000
Hg3 Hg 0.629 0.629 0.113
Hg4 Hg 0.371 0.371 0.887
```

***

(9)
Entry from Alexandria: NdY2Hg4 after structural relaxation (PBE-GGA).

Calculated values
SG: No. 139
VASP energy (eV per atom): -3.099
DFT formation energy (meV per atom): -399
Size of the total moment (μB/cell): 0.000

Geometry as CIF:
```
data_NdY2Hg4
_chemical_formula_sum 'Nd1 Y2 Hg4'
_cell_length_a 6.426
_cell_length_b 6.426
_cell_length_c 6.426
_cell_angle_alpha 110.43
_cell_angle_beta 108.99
_cell_angle_gamma 108.99
_space_group_name_H-M_alt 'P 1'
_space_group_IT_number 1
loop_
_space_group_symop_operation_xyz
'x,y,z'
loop_
_atom_site_label
_atom_site_type_symbol
_atom_site_fract_x
_atom_site_fract_y
_atom_site_fract_z
Hg1 Hg 0.500 0.500 0.500
Hg2 Hg 0.000 0.500 0.000
Hg3 Hg 0.500 0.000 0.000
Y1 Y 0.500 0.000 0.500
Hg4 Hg 0.000 0.000 0.500
Y2 Y 0.500 0.500 0.000
Nd1 Nd 0.000 0.000 0.000
```

***

(10)
Entry from Alexandria: Nd6YHg5 after structural relaxation (PBE-GGA).

Calculated values
SG: No. 71
VASP energy (eV per atom): -3.398
DFT formation energy (meV per atom): -350
Size of the total moment (μB/cell): 0.016

Geometry as CIF:
```
data_Nd6YHg5
_chemical_formula_sum 'Nd6 Y1 Hg5'
_cell_length_a 5.365
_cell_length_b 7.880
_cell_length_c 9.502
_cell_angle_alpha 114.50
_cell_angle_beta 106.40
_cell_angle_gamma 90.00
_space_group_name_H-M_alt 'P 1'
_space_group_IT_number 1
loop_
_space_group_symop_operation_xyz
'x,y,z'
loop_
_atom_site_label
_atom_site_type_symbol
_atom_site_fract_x
_atom_site_fract_y
_atom_site_fract_z
Hg1 Hg 0.353 0.853 0.706
Hg2 Hg 0.670 0.670 0.340
Hg3 Hg 0.647 0.147 0.294
Nd1 Nd 0.500 0.726 0.000
Hg4 Hg 0.330 0.330 0.660
Y1 Y 0.000 0.000 0.000
Nd2 Nd 0.173 0.428 0.345
Nd3 Nd 0.173 0.917 0.345
Nd4 Nd 0.500 0.274 0.000
Nd5 Nd 0.827 0.572 0.655
Nd6 Nd 0.827 0.083 0.655
Hg5 Hg 0.000 0.500 0.000
```

***

(11)
Entry from Alexandria: NdYHg2 after structural relaxation (PBE-GGA).

Calculated values
SG: No. 225
VASP energy (eV per atom): -3.443
Excess energy over the best structure of this formula in the dataset (eV per atom): 0.0048
DFT formation energy (meV per atom): -484
Size of the total moment (μB/cell): 0.701

Geometry as CIF:
```
data_NdYHg2
_chemical_formula_sum 'Nd1 Y1 Hg2'
_cell_length_a 5.356
_cell_length_b 5.356
_cell_length_c 5.356
_cell_angle_alpha 60.00
_cell_angle_beta 60.00
_cell_angle_gamma 60.00
_space_group_name_H-M_alt 'P 1'
_space_group_IT_number 1
loop_
_space_group_symop_operation_xyz
'x,y,z'
loop_
_atom_site_label
_atom_site_type_symbol
_atom_site_fract_x
_atom_site_fract_y
_atom_site_fract_z
Nd1 Nd 0.000 0.000 0.000
Hg1 Hg 0.250 0.250 0.250
Hg2 Hg 0.750 0.750 0.750
Y1 Y 0.500 0.500 0.500
```

***

(12)
Entry from Alexandria: NdY4Hg after structural relaxation (PBE-GGA).

Calculated values
SG: No. 15
VASP energy (eV per atom): -5.221
DFT formation energy (meV per atom): -67
Size of the total moment (μB/cell): 0.000

Geometry as CIF:
```
data_NdY4Hg
_chemical_formula_sum 'Nd2 Y8 Hg2'
_cell_length_a 6.375
_cell_length_b 8.979
_cell_length_c 8.333
_cell_angle_alpha 113.30
_cell_angle_beta 100.42
_cell_angle_gamma 111.98
_space_group_name_H-M_alt 'P 1'
_space_group_IT_number 1
loop_
_space_group_symop_operation_xyz
'x,y,z'
loop_
_atom_site_label
_atom_site_type_symbol
_atom_site_fract_x
_atom_site_fract_y
_atom_site_fract_z
Y1 Y 0.234 0.287 0.375
Y2 Y 0.746 0.387 0.207
Y3 Y 0.359 0.913 0.625
Nd1 Nd 0.642 0.392 0.784
Y4 Y 0.039 0.180 0.793
Y5 Y 0.961 0.820 0.207
Y6 Y 0.766 0.713 0.625
Nd2 Nd 0.358 0.608 0.216
Y7 Y 0.641 0.087 0.375
Hg1 Hg 0.250 0.000 0.999
Y8 Y 0.254 0.613 0.793
Hg2 Hg 0.750 0.000 0.001
```